[1]
A geometry-optimized Li2ZnPb structure, computed with PBEsol.

```
data_Li2ZnPb
_chemical_formula_sum 'Li2 Zn1 Pb1'
_symmetry_space_group_name_H-M 'P 4 m m'
_symmetry_Int_Tables_number 99
_cell_length_a 3.483
_cell_length_b 3.483
_cell_length_c 6.168
_cell_angle_alpha 90.00
_cell_angle_beta 90.00
_cell_angle_gamma 90.00
loop_
_symmetry_equiv_pos_as_xyz
'x,y,z'
'-y,x,z'
'-x,-y,z'
'y,-x,z'
'-x,y,z'
'y,x,z'
'x,-y,z'
'-y,-x,z'
loop_
_atom_site_label
_atom_site_type_symbol
_atom_site_fract_x
_atom_site_fract_y
_atom_site_fract_z
_atom_site_occupancy
Li1 Li 0.000 0.000 0.000 1
Li2 Li 0.500 0.500 0.256 1
Zn1 Zn 0.500 0.500 0.805 1
Pb1 Pb 0.000 0.000 0.516 1
```

Summary:
E_form in eV/atom: -0.143
ρ in Mg/m³: 6.36

=====

[2]
A geometry-optimized LiTl2Os structure, computed with PBEsol.

```
data_LiTl2Os
_chemical_formula_sum 'Li1 Tl2 Os1'
_symmetry_space_group_name_H-M 'P 4 m m'
_symmetry_Int_Tables_number 99
_cell_length_a 3.593
_cell_length_b 3.593
_cell_length_c 5.758
_cell_angle_alpha 90.00
_cell_angle_beta 90.00
_cell_angle_gamma 90.00
loop_
_symmetry_equiv_pos_as_xyz
'x,y,z'
'-y,x,z'
'-x,-y,z'
'y,-x,z'
'-x,y,z'
'y,x,z'
'x,-y,z'
'-y,-x,z'
loop_
_atom_site_label
_atom_site_type_symbol
_atom_site_fract_x
_atom_site_fract_y
_atom_site_fract_z
_atom_site_occupancy
Li1 Li 0.000 0.000 0.000 1
Tl1 Tl 0.000 0.000 0.442 1
Tl2 Tl 0.500 0.500 0.767 1
Os1 Os 0.500 0.500 0.238 1
```

Summary:
E_form in eV/atom: 0.540
ρ in Mg/m³: 13.54
Excess energy over the best structure of this formula in the dataset in meV/atom: 133

=====

[3]
A geometry-optimized CdPb2Au2 structure, computed with PBEsol.

```
data_CdPb2Au2
_chemical_formula_sum 'Cd2 Pb4 Au4'
_symmetry_space_group_name_H-M 'I 4/m m m'
_symmetry_Int_Tables_number 139
_symmetry_space_group_name_Hall '-I 4 2'
_cell_length_a 4.544
_cell_length_b 4.544
_cell_length_c 12.448
_cell_angle_alpha 90.00
_cell_angle_beta 90.00
_cell_angle_gamma 90.00
loop_
_atom_site_label
_atom_site_type_symbol
_atom_site_fract_x
_atom_site_fract_y
_atom_site_fract_z
_atom_site_occupancy
Cd1 Cd 0.000 0.000 0.000 1
Pb1 Pb 0.000 0.500 0.250 1
Au1 Au 0.000 0.000 0.396 1
```

Summary:
E_form in eV/atom: 0.201
ρ in Mg/m³: 11.90
Excess energy over the best structure of this formula in the dataset in meV/atom: 243

=====

[4]
A geometry-optimized BaCaMg structure, computed with PBEsol.

```
data_BaCaMg
_chemical_formula_sum 'Ba2 Ca2 Mg2'
_symmetry_space_group_name_H-M 'I 4 m m'
_symmetry_Int_Tables_number 107
_symmetry_space_group_name_Hall 'I 4 -2'
_cell_length_a 4.140
_cell_length_b 4.140
_cell_length_c 13.922
_cell_angle_alpha 90.00
_cell_angle_beta 90.00
_cell_angle_gamma 90.00
loop_
_atom_site_label
_atom_site_type_symbol
_atom_site_fract_x
_atom_site_fract_y
_atom_site_fract_z
_atom_site_occupancy
Ba1 Ba 0.000 0.000 0.000 1
Ca1 Ca 0.000 0.000 0.713 1
Mg1 Mg 0.000 0.000 0.336 1
```

Summary:
E_form in eV/atom: -0.031
ρ in Mg/m³: 2.81

=====

[5]
A geometry-optimized ReRu structure, computed with PBEsol.

```
data_ReRu
_chemical_formula_sum 'Re2 Ru2'
_symmetry_space_group_name_H-M 'P -3 m 1'
_symmetry_Int_Tables_number 164
_symmetry_space_group_name_Hall '-P 3 2"'
_cell_length_a 2.7262
_cell_length_b 2.7262
_cell_length_c 8.6608
_cell_angle_alpha 90.00
_cell_angle_beta 90.00
_cell_angle_gamma 120.00
loop_
_atom_site_label
_atom_site_type_symbol
_atom_site_fract_x
_atom_site_fract_y
_atom_site_fract_z
_atom_site_occupancy
Re1 Re 0.3333 0.6667 0.1308 1
Ru1 Ru 0.3333 0.6667 0.6237 1
```

Summary:
E_form in eV/atom: -0.033
ρ in Mg/m³: 17.11

=====

[6]
A geometry-optimized MgZn4 structure, computed with PBEsol.

```
data_MgZn4
_chemical_formula_sum 'Mg2 Zn8'
_symmetry_space_group_name_H-M 'I 4/m m m'
_symmetry_Int_Tables_number 139
_symmetry_space_group_name_Hall '-I 4 2'
_cell_length_a 3.674
_cell_length_b 3.674
_cell_length_c 12.162
_cell_angle_alpha 90.00
_cell_angle_beta 90.00
_cell_angle_gamma 90.00
loop_
_atom_site_label
_atom_site_type_symbol
_atom_site_fract_x
_atom_site_fract_y
_atom_site_fract_z
_atom_site_occupancy
Mg1 Mg 0.000 0.000 0.000 1
Zn1 Zn 0.000 0.000 0.400 1
Zn2 Zn 0.000 0.500 0.250 1
```

Summary:
E_form in eV/atom: 0.007
ρ in Mg/m³: 5.79
Excess energy over the best structure of this formula in the dataset in meV/atom: 17

=====

[7]
A geometry-optimized MgH2Se2O6 structure, computed with PBEsol.

```
data_MgH2Se2O6
_chemical_formula_sum 'Mg2 H4 Se4 O12'
_symmetry_space_group_name_H-M 'P 1 21/c 1'
_symmetry_Int_Tables_number 14
_cell_length_a 5.151
_cell_length_b 5.738
_cell_length_c 9.820
_cell_angle_alpha 90.00
_cell_angle_beta 109.76
_cell_angle_gamma 90.00
loop_
_symmetry_equiv_pos_as_xyz
'x,y,z'
'-x,-y,-z'
'-x,y+1/2,-z+1/2'
'x,-y+1/2,z+1/2'
loop_
_atom_site_label
_atom_site_type_symbol
_atom_site_fract_x
_atom_site_fract_y
_atom_site_fract_z
_atom_site_occupancy
Mg1 Mg 0.000 0.000 0.000 1
H1 H 0.472 0.228 0.493 1
Se1 Se 0.078 0.505 0.846 1
O1 O 0.230 0.505 0.719 1
O2 O 0.243 0.729 0.960 1
O3 O 0.248 0.238 0.457 1
```

Summary:
Electronic total energy in eV/atom: -5.552
ρ in Mg/m³: 3.41

=====

[8]
A geometry-optimized BaSrZrNb2 structure, computed with PBEsol.

```
data_BaSrZrNb2
_chemical_formula_sum 'Ba1 Sr1 Zr1 Nb2'
_symmetry_space_group_name_H-M 'P 4/m m m'
_symmetry_Int_Tables_number 123
_symmetry_space_group_name_Hall '-P 4 2'
_cell_length_a 5.180
_cell_length_b 5.180
_cell_length_c 5.312
_cell_angle_alpha 90.00
_cell_angle_beta 90.00
_cell_angle_gamma 90.00
loop_
_atom_site_label
_atom_site_type_symbol
_atom_site_fract_x
_atom_site_fract_y
_atom_site_fract_z
_atom_site_occupancy
Ba1 Ba 0.000 0.000 0.000 1
Sr1 Sr 0.500 0.500 0.500 1
Zr1 Zr 0.000 0.000 0.500 1
Nb1 Nb 0.000 0.500 0.000 1
```

Summary:
E_form in eV/atom: 1.834
ρ in Mg/m³: 5.85

=====

[9]
A geometry-optimized Al2InSbTe structure, computed with PBEsol.

```
data_Al2InSbTe
_chemical_formula_sum 'Al2 In1 Sb1 Te1'
_symmetry_space_group_name_H-M 'P 4/m m m'
_symmetry_Int_Tables_number 123
_symmetry_space_group_name_Hall '-P 4 2'
_cell_length_a 5.045
_cell_length_b 5.045
_cell_length_c 5.776
_cell_angle_alpha 90.00
_cell_angle_beta 90.00
_cell_angle_gamma 90.00
loop_
_atom_site_label
_atom_site_type_symbol
_atom_site_fract_x
_atom_site_fract_y
_atom_site_fract_z
_atom_site_occupancy
Al1 Al 0.000 0.500 0.000 1
In1 In 0.000 0.000 0.000 1
Sb1 Sb 0.500 0.500 0.500 1
Te1 Te 0.000 0.000 0.500 1
```

Summary:
E_form (uncorrected) in eV per formula unit: 3.32
ρ in Mg/m³: 4.72

=====

[10]
A geometry-optimized La2HgP structure, computed with PBEsol.

```
data_La2HgP
_chemical_formula_sum 'La4 Hg2 P2'
_symmetry_space_group_name_H-M 'I 4/m m m'
_symmetry_Int_Tables_number 139
_symmetry_space_group_name_Hall '-I 4 2'
_cell_length_a 4.967
_cell_length_b 4.967
_cell_length_c 8.153
_cell_angle_alpha 90.00
_cell_angle_beta 90.00
_cell_angle_gamma 90.00
loop_
_atom_site_label
_atom_site_type_symbol
_atom_site_fract_x
_atom_site_fract_y
_atom_site_fract_z
_atom_site_occupancy
La1 La 0.000 0.500 0.250 1
Hg1 Hg 0.000 0.000 0.000 1
P1 P 0.000 0.000 0.500 1
```

Summary:
E_form in eV/atom: -0.767
ρ in Mg/m³: 8.41
Excess energy over the best structure of this formula in the dataset in meV/atom: 211

=====

[11]
A geometry-optimized Si2PdRh2 structure, computed with PBEsol.

```
data_Si2PdRh2
_chemical_formula_sum 'Si4 Pd2 Rh4'
_symmetry_space_group_name_H-M 'P 4/m b m'
_symmetry_Int_Tables_number 127
_symmetry_space_group_name_Hall '-P 4 2ab'
_cell_length_a 6.894
_cell_length_b 6.894
_cell_length_c 2.775
_cell_angle_alpha 90.00
_cell_angle_beta 90.00
_cell_angle_gamma 90.00
loop_
_atom_site_label
_atom_site_type_symbol
_atom_site_fract_x
_atom_site_fract_y
_atom_site_fract_z
_atom_site_occupancy
Si1 Si 0.153 0.347 0.000 1
Pd1 Pd 0.000 0.000 0.000 1
Rh1 Rh 0.144 0.644 0.500 1
```

Summary:
E_form (uncorrected) in eV per formula unit: -3.97
ρ in Mg/m³: 9.28

=====

[12]
A geometry-optimized CaZr3Bi structure, computed with PBEsol.

```
data_CaZr3Bi
_chemical_formula_sum 'Ca1 Zr3 Bi1'
_symmetry_space_group_name_H-M 'P m -3 m'
_symmetry_Int_Tables_number 221
_symmetry_space_group_name_Hall '-P 4 2 3'
_cell_length_a 5.432
_cell_length_b 5.432
_cell_length_c 5.432
_cell_angle_alpha 90.00
_cell_angle_beta 90.00
_cell_angle_gamma 90.00
loop_
_atom_site_label
_atom_site_type_symbol
_atom_site_fract_x
_atom_site_fract_y
_atom_site_fract_z
_atom_site_occupancy
Ca1 Ca 0.000 0.000 0.000 1
Zr1 Zr 0.000 0.500 0.500 1
Bi1 Bi 0.500 0.500 0.500 1
```

Summary:
E_form in eV/atom: 0.782
ρ in Mg/m³: 5.42

=====

[13]
A geometry-optimized Li2V2P2H12O15 structure, computed with PBEsol.

```
data_Li2V2P2H12O15
_chemical_formula_sum 'Li8 V8 P8 H48 O60'
_symmetry_space_group_name_H-M 'C 1 2/c 1'
_symmetry_Int_Tables_number 15
_cell_length_a 21.588
_cell_length_b 5.012
_cell_length_c 10.346
_cell_angle_alpha 90.00
_cell_angle_beta 101.91
_cell_angle_gamma 90.00
loop_
_symmetry_equiv_pos_as_xyz
'x,y,z'
'-x,-y,-z'
'-x,y,-z+1/2'
'x,-y,z+1/2'
'x+1/2,y+1/2,z'
'-x+1/2,-y+1/2,-z'
'-x+1/2,y+1/2,-z+1/2'
'x+1/2,-y+1/2,z+1/2'
loop_
_atom_site_label
_atom_site_type_symbol
_atom_site_fract_x
_atom_site_fract_y
_atom_site_fract_z
_atom_site_occupancy
Li1 Li 0.239 0.162 0.367 1
V1 V 0.123 0.141 0.472 1
P1 P 0.158 0.333 0.775 1
H1 H 0.008 0.195 0.071 1
H2 H 0.019 0.428 0.352 1
H3 H 0.040 0.231 0.768 1
H4 H 0.096 0.062 0.179 1
H5 H 0.106 0.328 0.095 1
H6 H 0.224 0.104 0.087 1
O1 O 0.000 0.344 0.750 1
O2 O 0.032 0.264 0.409 1
O3 O 0.087 0.138 0.086 1
O4 O 0.111 0.118 0.812 1
O5 O 0.132 0.395 0.624 1
O6 O 0.155 0.407 0.351 1
O7 O 0.207 0.042 0.524 1
O8 O 0.224 0.218 0.793 1
```

Summary:
Electronic total energy in eV/atom: -6.255
ρ in Mg/m³: 2.61

=====

[14]
A geometry-optimized K2Nd2IrO7 structure, computed with PBEsol.

```
data_K2Nd2IrO7
_chemical_formula_sum 'K12 Nd12 Ir6 O42'
_symmetry_space_group_name_H-M 'R -3 c'
_symmetry_Int_Tables_number 167
_symmetry_space_group_name_Hall '-R 3 2"c'
_cell_length_a 5.6520
_cell_length_b 5.6520
_cell_length_c 37.8361
_cell_angle_alpha 90.00
_cell_angle_beta 90.00
_cell_angle_gamma 120.00
loop_
_atom_site_label
_atom_site_type_symbol
_atom_site_fract_x
_atom_site_fract_y
_atom_site_fract_z
_atom_site_occupancy
K1 K 0.0000 0.0000 0.0867 1
Nd1 Nd 0.0000 0.0000 0.1905 1
Ir1 Ir 0.0000 0.0000 0.0000 1
O1 O 0.0000 0.0000 0.2500 1
O2 O 0.0102 0.4263 0.1940 1
```

Summary:
E_form (uncorrected) in eV per formula unit: -25.01
ρ in Mg/m³: 6.39

=====

[15]
A geometry-optimized Hf3Cr2Ga6 structure, computed with PBEsol.

```
data_Hf3Cr2Ga6
_chemical_formula_sum 'Hf6 Cr4 Ga12'
_symmetry_space_group_name_H-M 'P m m n'
_symmetry_Int_Tables_number 59
_cell_length_a 5.246
_cell_length_b 8.595
_cell_length_c 7.624
_cell_angle_alpha 90.00
_cell_angle_beta 90.00
_cell_angle_gamma 90.00
loop_
_symmetry_equiv_pos_as_xyz
'x,y,z'
'-x,-y,-z'
'-x+1/2,-y+1/2,z'
'x+1/2,y+1/2,-z'
'x+1/2,-y,-z'
'-x+1/2,y,z'
'-x,y+1/2,-z'
'x,-y+1/2,z'
loop_
_atom_site_label
_atom_site_type_symbol
_atom_site_fract_x
_atom_site_fract_y
_atom_site_fract_z
_atom_site_occupancy
Hf1 Hf 0.250 0.029 0.157 1
Hf2 Hf 0.250 0.750 0.714 1
Cr1 Cr 0.000 0.000 0.500 1
Ga1 Ga 0.010 0.750 0.037 1
Ga2 Ga 0.250 0.063 0.768 1
Ga3 Ga 0.250 0.250 0.440 1
Ga4 Ga 0.250 0.750 0.366 1
```

Summary:
E_form in eV/atom: -0.407
ρ in Mg/m³: 10.22

=====

[16]
A geometry-optimized Ta7BiO19 structure, computed with PBEsol.

```
data_Ta7BiO19
_chemical_formula_sum 'Ta14 Bi2 O38'
_symmetry_space_group_name_H-M 'P -6 c 2'
_symmetry_Int_Tables_number 188
_symmetry_space_group_name_Hall 'P -6c 2'
_cell_length_a 6.2117
_cell_length_b 6.2117
_cell_length_c 20.0843
_cell_angle_alpha 90.00
_cell_angle_beta 90.00
_cell_angle_gamma 120.00
loop_
_atom_site_label
_atom_site_type_symbol
_atom_site_fract_x
_atom_site_fract_y
_atom_site_fract_z
_atom_site_occupancy
Ta1 Ta 0.0000 0.0000 0.0000 1
Ta2 Ta 0.3334 0.0285 0.1563 1
Bi1 Bi 0.6667 0.3333 0.0000 1
O1 O 0.0000 0.0000 0.1676 1
O2 O 0.0858 0.4188 0.6535 1
O3 O 0.2845 0.0504 0.0570 1
O4 O 0.3778 0.0876 0.2500 1
O5 O 0.6667 0.3333 0.1326 1
```

Summary:
E_form (uncorrected) in eV per formula unit: -73.75
ρ in Mg/m³: 8.81
Excess energy over the best structure of this formula in the dataset in meV/atom: 0

=====

[17]
A geometry-optimized Ce2Ga12Pd structure, computed with PBEsol.

```
data_Ce2Ga12Pd
_chemical_formula_sum 'Ce4 Ga24 Pd2'
_symmetry_space_group_name_H-M 'P 4/n b m'
_symmetry_Int_Tables_number 125
_cell_length_a 6.009
_cell_length_b 6.009
_cell_length_c 15.284
_cell_angle_alpha 90.00
_cell_angle_beta 90.00
_cell_angle_gamma 90.00
loop_
_symmetry_equiv_pos_as_xyz
'x,y,z'
'-x,-y,-z'
'-y+1/2,x,z'
'y+1/2,-x,-z'
'-x+1/2,-y+1/2,z'
'x+1/2,y+1/2,-z'
'y,-x+1/2,z'
'-y,x+1/2,-z'
'x,-y+1/2,-z'
'-x,y+1/2,z'
'-y+1/2,-x+1/2,-z'
'y+1/2,x+1/2,z'
'-x+1/2,y,-z'
'x+1/2,-y,z'
'y,x,-z'
'-y,-x,z'
loop_
_atom_site_label
_atom_site_type_symbol
_atom_site_fract_x
_atom_site_fract_y
_atom_site_fract_z
_atom_site_occupancy
Ce1 Ce 0.250 0.750 0.245 1
Ga1 Ga 0.000 0.000 0.090 1
Ga2 Ga 0.080 0.580 0.429 1
Ga3 Ga 0.250 0.250 0.187 1
Ga4 Ga 0.250 0.250 0.343 1
Pd1 Pd 0.250 0.750 0.000 1
```

Summary:
E_form in eV/atom: -0.442
ρ in Mg/m³: 7.36

=====

[18]
A geometry-optimized BaLiAl2 structure, computed with PBEsol.

```
data_BaLiAl2
_chemical_formula_sum 'Ba1 Li1 Al2'
_symmetry_space_group_name_H-M 'P 4/m m m'
_symmetry_Int_Tables_number 123
_symmetry_space_group_name_Hall '-P 4 2'
_cell_length_a 5.433
_cell_length_b 5.433
_cell_length_c 3.667
_cell_angle_alpha 90.00
_cell_angle_beta 90.00
_cell_angle_gamma 90.00
loop_
_atom_site_label
_atom_site_type_symbol
_atom_site_fract_x
_atom_site_fract_y
_atom_site_fract_z
_atom_site_occupancy
Ba1 Ba 0.000 0.000 0.000 1
Li1 Li 0.500 0.500 0.000 1
Al1 Al 0.000 0.500 0.500 1
```

Summary:
E_form in eV/atom: 0.218
ρ in Mg/m³: 3.04
Excess energy over the best structure of this formula in the dataset in meV/atom: 380